1.
DFT (GGA-PBE) results for crystalline Na2TlP2Pd5 at its relaxed geometry.

Calculated values
**Energy of formation**: -4.0 eV per formula unit
**Total energy**: -91.61 eV/cell
**Crystal system**: tetragonal

a b c (Å): 10.278 10.278 3.337
angles (deg): 90.00 90.00 90.00
Fractional coordinates of all 20 atoms:
Na: 0.175 0.325 0.000
Na: 0.325 0.825 0.000
Na: 0.675 0.175 0.000
Na: 0.825 0.675 0.000
Tl: 0.000 0.000 0.000
Tl: 0.500 0.500 0.000
P: 0.125 0.625 0.000
P: 0.375 0.125 0.000
P: 0.625 0.875 0.000
P: 0.875 0.375 0.000
Pd: 0.000 0.500 0.500
Pd: 0.069 0.781 0.500
Pd: 0.219 0.069 0.500
Pd: 0.281 0.569 0.500
Pd: 0.431 0.281 0.500
Pd: 0.500 0.000 0.500
Pd: 0.569 0.719 0.500
Pd: 0.719 0.431 0.500
Pd: 0.781 0.931 0.500
Pd: 0.931 0.219 0.500



2.
DFT (GGA-PBE) results for crystalline NaZr2PPd at its relaxed geometry.

Calculated values
**Energy of formation**: 6.0 eV per formula unit
**Total energy**: -23.00 eV/cell
**Crystal system**: tetragonal

a b c (Å): 4.943 4.943 4.426
angles (deg): 90.00 90.00 90.00
Fractional coordinates of all 5 atoms:
Na: 0.000 0.000 0.000
Zr: 0.000 0.500 0.000
Zr: 0.500 0.000 0.000
P: 0.000 0.000 0.500
Pd: 0.500 0.500 0.500



Please write out number 1 again, unchanged.
DFT (GGA-PBE) results for crystalline Na2TlP2Pd5 at its relaxed geometry.

Calculated values
**Energy of formation**: -4.0 eV per formula unit
**Total energy**: -91.61 eV/cell
**Crystal system**: tetragonal

a b c (Å): 10.278 10.278 3.337
angles (deg): 90.00 90.00 90.00
Fractional coordinates of all 20 atoms:
Na: 0.175 0.325 0.000
Na: 0.325 0.825 0.000
Na: 0.675 0.175 0.000
Na: 0.825 0.675 0.000
Tl: 0.000 0.000 0.000
Tl: 0.500 0.500 0.000
P: 0.125 0.625 0.000
P: 0.375 0.125 0.000
P: 0.625 0.875 0.000
P: 0.875 0.375 0.000
Pd: 0.000 0.500 0.500
Pd: 0.069 0.781 0.500
Pd: 0.219 0.069 0.500
Pd: 0.281 0.569 0.500
Pd: 0.431 0.281 0.500
Pd: 0.500 0.000 0.500
Pd: 0.569 0.719 0.500
Pd: 0.719 0.431 0.500
Pd: 0.781 0.931 0.500
Pd: 0.931 0.219 0.500



Question: Among the records above, which one has the highest total energy?
Answer: NaZr2PPd



Question: total energy of number 1 (Na2TlP2Pd5)?
Answer: -91.61 eV/cell



Question: Look up the total energy of the first one.
Answer: -91.61 eV/cell